Entry 1:
The following is a DFT calculation (PBE-GGA) of a relaxed ScSiAg2 crystal.

Computed properties:
Magnetization = 0.00 μB per cell
Theoretical density = 6.91 g/cm3
VASP energy = -0.3344 Ry/atom

Cell lengths 4.614, 4.614, 4.614 Å; angles 60.00, 60.00, 60.00 degrees
Sites, in units of the cell vectors:
Ag 0.750 0.750 0.750
Ag 0.000 0.000 0.000
Si 0.500 0.500 0.500
Sc 0.250 0.250 0.250

---

Entry 2:
The following is a DFT calculation (PBE-GGA) of a relaxed ScSiAg crystal.

Computed properties:
Magnetization = 0.00 μB per cell
Theoretical density = 5.65 g/cm3
VASP energy = -0.3964 Ry/atom

Cell lengths 6.739, 4.033, 7.831 Å; angles 90.00, 90.00, 90.00 degrees
Sites, in units of the cell vectors:
Sc 0.969 0.000 0.680
Sc 0.469 0.000 0.820
Sc 0.531 0.500 0.180
Sc 0.031 0.500 0.320
Ag 0.645 0.500 0.558
Ag 0.145 0.500 0.942
Ag 0.355 0.000 0.442
Ag 0.855 0.000 0.058
Si 0.254 0.000 0.128
Si 0.754 0.000 0.372
Si 0.746 0.500 0.872
Si 0.246 0.500 0.628

---

Entry 3:
The following is a DFT calculation (PBE-GGA) of a relaxed ScSi2Ag crystal.

Computed properties:
Magnetization = 0.01 μB per cell
Theoretical density = 4.95 g/cm3
VASP energy = -0.3621 Ry/atom

Cell lengths 4.627, 4.627, 4.627 Å; angles 60.00, 60.00, 60.00 degrees
Sites, in units of the cell vectors:
Sc 0.750 0.750 0.750
Ag 0.500 0.500 0.500
Si 0.000 0.000 0.000
Si 0.250 0.250 0.250

---

Entry 4:
The following is a DFT calculation (PBE-GGA) of a relaxed TbSc2Si4Ag4 crystal.

Computed properties:
Magnetization = 0.00 μB per cell
Theoretical density = 6.64 g/cm3
VASP energy = -0.3695 Ry/atom

Cell lengths 8.009, 8.009, 8.009 Å; angles 150.38, 128.05, 60.94 degrees
Sites, in units of the cell vectors:
Sc 0.621 0.121 0.500
Sc 0.379 0.879 0.500
Ag 0.630 0.331 0.300
Ag 0.969 0.669 0.300
Ag 0.031 0.331 0.700
Ag 0.370 0.669 0.700
Si 0.671 0.500 0.171
Si 0.779 0.779 0.000
Si 0.221 0.221 0.000
Si 0.329 0.500 0.829
Tb 0.000 0.000 0.000

---

Entry 5:
The following is a DFT calculation (PBE-GGA) of a relaxed TmSc2Si4Ag4 crystal.

Computed properties:
Magnetization = 0.00 μB per cell
Theoretical density = 6.78 g/cm3
VASP energy = -0.3668 Ry/atom

Cell lengths 7.980, 7.980, 7.980 Å; angles 150.27, 128.11, 60.95 degrees
Sites, in units of the cell vectors:
Ag 0.630 0.331 0.300
Ag 0.969 0.669 0.300
Ag 0.031 0.331 0.700
Ag 0.370 0.669 0.700
Si 0.780 0.780 0.000
Si 0.673 0.500 0.173
Si 0.220 0.220 0.000
Si 0.327 0.500 0.827
Tm 0.000 0.000 0.000
Sc 0.379 0.879 0.500
Sc 0.621 0.121 0.500

---

Entry 6:
The following is a DFT calculation (PBE-GGA) of a relaxed YScSi2Ag2 crystal.

Computed properties:
Magnetization = 0.02 μB per cell
Theoretical density = 5.35 g/cm3
VASP energy = -0.3819 Ry/atom

Cell lengths 8.941, 4.462, 13.395 Å; angles 90.00, 109.36, 90.00 degrees
Sites, in units of the cell vectors:
Ag 0.740 0.000 0.497
Ag 0.000 0.000 0.001
Ag 0.381 0.500 0.260
Ag 0.497 0.000 0.992
Ag 0.139 0.500 0.753
Ag 0.880 0.500 0.261
Ag 0.256 0.000 0.496
Ag 0.613 0.500 0.743
Si 0.681 0.000 0.869
Si 0.939 0.000 0.378
Si 0.191 0.000 0.874
Si 0.805 0.500 0.621
Si 0.065 0.500 0.130
Si 0.314 0.500 0.620
Si 0.564 0.500 0.126
Si 0.439 0.000 0.377
Sc 0.441 0.500 0.874
Sc 0.689 0.500 0.378
Sc 0.189 0.500 0.377
Sc 0.561 0.000 0.623
Y 0.060 0.000 0.622
Y 0.316 0.000 0.127
Y 0.933 0.500 0.870
Y 0.811 0.000 0.128

---

Entry 7:
The following is a DFT calculation (PBE-GGA) of a relaxed Sc2AgSn crystal.

Computed properties:
Magnetization = 2.54 μB per cell
Theoretical density = 6.13 g/cm3
VASP energy = -0.3655 Ry/atom

Cell lengths 4.949, 4.949, 4.949 Å; angles 60.00, 60.00, 60.00 degrees
Sites, in units of the cell vectors:
Ag 0.250 0.250 0.250
Sc 0.750 0.750 0.750
Sc 0.000 0.000 0.000
Sn 0.500 0.500 0.500

---

Entry 8:
The following is a DFT calculation (PBE-GGA) of a relaxed ScAg2Sn crystal.

Computed properties:
Magnetization = 0.00 μB per cell
Theoretical density = 7.96 g/cm3
VASP energy = -0.3140 Ry/atom

Cell lengths 4.819, 4.819, 4.819 Å; angles 60.00, 60.00, 60.00 degrees
Sites, in units of the cell vectors:
Sn 0.500 0.500 0.500
Ag 0.000 0.000 0.000
Ag 0.750 0.750 0.750
Sc 0.250 0.250 0.250

---

Entry 9:
The following is a DFT calculation (PBE-GGA) of a relaxed ScAgSn crystal.

Computed properties:
Magnetization = 0.00 μB per cell
Theoretical density = 7.01 g/cm3
VASP energy = -0.3565 Ry/atom

Cell lengths 7.158, 7.158, 4.350 Å; angles 90.00, 90.00, 120.00 degrees
Sites, in units of the cell vectors:
Ag 0.000 0.247 0.000
Ag 0.247 0.000 0.000
Ag 0.753 0.753 0.000
Sc 0.435 0.435 0.500
Sc 0.565 0.000 0.500
Sc 0.000 0.565 0.500
Sn 0.333 0.667 0.000
Sn 0.667 0.333 0.000
Sn 0.000 0.000 0.500

---

Entry 10:
The following is a DFT calculation (PBE-GGA) of a relaxed ScAgSn crystal.

Computed properties:
Magnetization = 0.00 μB per cell
Theoretical density = 7.02 g/cm3
VASP energy = -0.3480 Ry/atom

Cell lengths 7.501, 7.501, 3.956 Å; angles 90.00, 90.00, 120.00 degrees
Sites, in units of the cell vectors:
Sn 0.726 0.726 0.000
Sn 0.000 0.274 0.000
Sn 0.274 0.000 0.000
Ag 0.000 0.000 0.500
Ag 0.667 0.333 0.000
Ag 0.333 0.667 0.000
Sc 0.387 0.387 0.500
Sc 0.000 0.613 0.500
Sc 0.613 0.000 0.500

---

Entry 11:
The following is a DFT calculation (PBE-GGA) of a relaxed TbScAg2Sn2 crystal.

Computed properties:
Magnetization = 0.00 μB per cell
Theoretical density = 8.08 g/cm3
VASP energy = -0.3407 Ry/atom

Cell lengths 4.668, 4.668, 7.158 Å; angles 90.00, 90.00, 120.00 degrees
Sites, in units of the cell vectors:
Sn 0.333 0.667 0.547
Sn 0.667 0.333 0.032
Tb 0.000 0.000 0.260
Sc 0.000 0.000 0.761
Ag 0.667 0.333 0.456
Ag 0.333 0.667 0.944